DFT (GGA-PBE) results for a geometry-optimized LaEuAg4 structure.

The structure in POSCAR format:
```
LaEuAg4
1.0
5.854 0.000 0.000
2.927 5.070 0.000
2.927 1.690 4.780
Ag Eu La
4 1 1
direct
0.124 0.625 0.625
0.625 0.124 0.625
0.625 0.625 0.625
0.625 0.625 0.124
0.000 0.000 0.000
0.250 0.250 0.250
```

Its formation energy is -0.1912 eV per atom. As for the space group: F-43m (216). The calculated volume comes out at 23.6 Å³/atom. As for the density: 8.455 g/cm3.